# 1
Below is a relaxed structure of Re2AuSe, with properties calculated at the GGA-PBE level.

Values from the calculation:
Energy relative to the elements, uncorrected in eV per atom: 0.5675

Lattice parameters (Å, degrees): 4.3737 2.9173 10.5921 90.00 90.00 90.00
Space group Amm2 (No. 38)
Asymmetric unit:
1 Re 0.0000 0.0000 0.0000
2 Re 0.5000 0.0000 0.4092
3 Au 0.0000 0.0000 0.7492
4 Se 0.5000 0.0000 0.1056

# 2
Below is a relaxed structure of PmErCdOs, with properties calculated at the GGA-PBE level.

Values from the calculation:
Formation enthalpy at 0 K in meV/atom: -155.2
E above lowest polymorph in meV per atom: 98

Lattice parameters (Å, degrees): 7.1562 7.1562 7.1562 90.00 90.00 90.00
Space group F-43m (No. 216)
Asymmetric unit:
1 Pm 0.0000 0.0000 0.0000
2 Er 0.0000 0.0000 0.5000
3 Cd 0.2500 0.2500 0.7500
4 Os 0.2500 0.2500 0.2500

# 3
Below is a relaxed structure of Li2Pd3O8, with properties calculated at the GGA-PBE level.

Values from the calculation:
Energy relative to the elements, uncorrected in eV per atom: -0.6338

Lattice parameters (Å, degrees): 10.3981 6.1405 5.2281 90.00 112.14 90.00
Space group C2/m (No. 12)
Asymmetric unit:
1 Li 0.1821 0.0000 0.1374
2 Pd 0.0000 0.2435 0.5000
3 Pd 0.0000 0.5000 0.0000
4 O 0.1050 0.2622 0.2518
5 O 0.1093 0.5000 0.7466
6 O 0.1147 0.0000 0.7174

# 4
Below is a relaxed structure of LaCo3Te, with properties calculated at the GGA-PBE level.

Values from the calculation:
E above lowest polymorph in meV per atom: 930
Energy relative to the elements, uncorrected in eV per atom: 1.3380

Lattice parameters (Å, degrees): 4.6710 4.6710 4.6710 90.00 90.00 90.00
Space group Pm-3m (No. 221)
Asymmetric unit:
1 La 0.0000 0.0000 0.0000
2 Co 0.0000 0.0000 0.5000
3 Te 0.5000 0.5000 0.5000

| no. | total DFT energy (no corrections) (eV per atom) |
| --- | --- |
| 1 | -7.347 |
| 2 | -5.520 |
| 3 | -5.178 |
| 4 | -4.539 |